P:
DFT (PBE) results for La3Nd3Y after structural relaxation.

Calculated values
Its theoretical density is 6.18 g/cm3. The value obtained for the density of states at the Fermi level is 1.723 states/eV per atom.

```
data_La3Nd3Y
_cell_length_a 5.951
_cell_length_b 9.893
_cell_length_c 9.893
_cell_angle_alpha 120.00
_cell_angle_beta 90.00
_cell_angle_gamma 90.00
_symmetry_space_group_name_H-M 'P 1'
_symmetry_Int_Tables_number 1
loop_
_symmetry_equiv_pos_as_xyz
'x,y,z'
loop_
_atom_site_label
_atom_site_type_symbol
_atom_site_fract_x
_atom_site_fract_y
_atom_site_fract_z
Nd1 Nd 0.750 0.616 0.095
Nd2 Nd 0.750 0.905 0.521
Nd3 Nd 0.250 0.095 0.479
Nd4 Nd 0.750 0.479 0.384
Nd5 Nd 0.250 0.521 0.616
Nd6 Nd 0.250 0.384 0.905
La1 La 0.750 0.759 0.804
La2 La 0.250 0.955 0.759
La3 La 0.250 0.804 0.045
La4 La 0.750 0.045 0.241
La5 La 0.250 0.241 0.196
La6 La 0.750 0.196 0.955
Y1 Y 0.750 0.333 0.667
Y2 Y 0.250 0.667 0.333
```

---

Q:
DFT (PBE) results for La3Nd3Y after structural relaxation.

Calculated values
Its theoretical density is 6.12 g/cm3. The value obtained for the density of states at the Fermi level is 1.552 states/eV per atom.

```
data_La3Nd3Y
_cell_length_a 9.003
_cell_length_b 9.003
_cell_length_c 9.003
_cell_angle_alpha 59.45
_cell_angle_beta 59.45
_cell_angle_gamma 59.45
_symmetry_space_group_name_H-M 'P 1'
_symmetry_Int_Tables_number 1
loop_
_symmetry_equiv_pos_as_xyz
'x,y,z'
loop_
_atom_site_label
_atom_site_type_symbol
_atom_site_fract_x
_atom_site_fract_y
_atom_site_fract_z
Y1 Y 0.349 0.349 0.349
Y2 Y 0.651 0.651 0.651
La1 La 0.059 0.300 0.812
La2 La 0.812 0.059 0.300
La3 La 0.941 0.700 0.188
La4 La 0.188 0.941 0.700
La5 La 0.300 0.812 0.059
La6 La 0.700 0.188 0.941
Nd1 Nd 0.067 0.723 0.568
Nd2 Nd 0.277 0.432 0.933
Nd3 Nd 0.568 0.067 0.723
Nd4 Nd 0.723 0.568 0.067
Nd5 Nd 0.933 0.277 0.432
Nd6 Nd 0.432 0.933 0.277
```

---

The data favor P; the next most stable structure lies 184 meV per atom above it.

---

P:
DFT (PBE) results for La3Nd6Y after structural relaxation.

Calculated values
Its theoretical density is 6.33 g/cm3. The value obtained for the density of states at the Fermi level is 1.436 states/eV per atom.

```
data_La3Nd6Y
_cell_length_a 6.421
_cell_length_b 10.682
_cell_length_c 10.682
_cell_angle_alpha 100.85
_cell_angle_beta 90.00
_cell_angle_gamma 90.00
_symmetry_space_group_name_H-M 'P 1'
_symmetry_Int_Tables_number 1
loop_
_symmetry_equiv_pos_as_xyz
'x,y,z'
loop_
_atom_site_label
_atom_site_type_symbol
_atom_site_fract_x
_atom_site_fract_y
_atom_site_fract_z
Nd1 Nd 0.619 0.258 0.742
Nd2 Nd 0.401 0.015 0.436
Nd3 Nd 0.901 0.985 0.564
Nd4 Nd 0.901 0.436 0.015
Nd5 Nd 0.729 0.061 0.939
Nd6 Nd 0.075 0.440 0.320
Nd7 Nd 0.119 0.742 0.258
Nd8 Nd 0.575 0.560 0.680
Nd9 Nd 0.229 0.939 0.061
Nd10 Nd 0.575 0.320 0.440
Nd11 Nd 0.075 0.680 0.560
Nd12 Nd 0.401 0.564 0.985
La1 La 0.457 0.864 0.722
La2 La 0.957 0.722 0.864
La3 La 0.457 0.278 0.136
La4 La 0.957 0.136 0.278
La5 La 0.090 0.366 0.634
La6 La 0.590 0.634 0.366
Y1 Y 0.180 0.154 0.846
Y2 Y 0.680 0.846 0.154
```

---

Q:
DFT (PBE) results for La3Nd6Y after structural relaxation.

Calculated values
Its theoretical density is 6.28 g/cm3. The value obtained for the density of states at the Fermi level is 1.652 states/eV per atom.

```
data_La3Nd6Y
_cell_length_a 6.911
_cell_length_b 12.924
_cell_length_c 9.900
_cell_angle_alpha 147.42
_cell_angle_beta 110.43
_cell_angle_gamma 90.00
_symmetry_space_group_name_H-M 'P 1'
_symmetry_Int_Tables_number 1
loop_
_symmetry_equiv_pos_as_xyz
'x,y,z'
loop_
_atom_site_label
_atom_site_type_symbol
_atom_site_fract_x
_atom_site_fract_y
_atom_site_fract_z
Nd1 Nd 0.191 0.890 0.381
Nd2 Nd 0.342 0.314 0.135
Nd3 Nd 0.658 0.686 0.865
Nd4 Nd 0.207 0.686 0.865
Nd5 Nd 0.793 0.314 0.135
Nd6 Nd 0.809 0.110 0.619
La1 La 0.000 0.000 0.000
La2 La 0.706 0.233 0.413
La3 La 0.294 0.767 0.587
Y1 Y 0.500 0.500 0.000
```

---

The data favor P; the next most stable structure lies 73 meV per atom above it.

---

P:
DFT (PBE) results for LaNdY after structural relaxation.

Calculated values
Its theoretical density is 5.88 g/cm3. The value obtained for the density of states at the Fermi level is 1.785 states/eV per atom.

```
data_LaNdY
_cell_length_a 3.684
_cell_length_b 3.684
_cell_length_c 8.164
_cell_angle_alpha 103.04
_cell_angle_beta 103.04
_cell_angle_gamma 90.00
_symmetry_space_group_name_H-M 'P 1'
_symmetry_Int_Tables_number 1
loop_
_symmetry_equiv_pos_as_xyz
'x,y,z'
loop_
_atom_site_label
_atom_site_type_symbol
_atom_site_fract_x
_atom_site_fract_y
_atom_site_fract_z
Nd1 Nd 0.665 0.665 0.329
Y1 Y 0.001 0.001 0.003
La1 La 0.334 0.334 0.668
```

---

Q:
DFT (PBE) results for LaNdY after structural relaxation.

Calculated values
Its theoretical density is 5.83 g/cm3. The value obtained for the density of states at the Fermi level is 1.466 states/eV per atom.

```
data_LaNdY
_cell_length_a 3.550
_cell_length_b 3.550
_cell_length_c 9.921
_cell_angle_alpha 79.69
_cell_angle_beta 79.69
_cell_angle_gamma 60.00
_symmetry_space_group_name_H-M 'P 1'
_symmetry_Int_Tables_number 1
loop_
_symmetry_equiv_pos_as_xyz
'x,y,z'
loop_
_atom_site_label
_atom_site_type_symbol
_atom_site_fract_x
_atom_site_fract_y
_atom_site_fract_z
Y1 Y 0.252 0.252 0.243
La1 La 0.018 0.018 0.945
Nd1 Nd 0.137 0.137 0.589
```

---

R:
DFT (PBE) results for LaNdY after structural relaxation.

Calculated values
Its theoretical density is 5.91 g/cm3. The value obtained for the density of states at the Fermi level is 1.533 states/eV per atom.

```
data_LaNdY
_cell_length_a 3.665
_cell_length_b 3.665
_cell_length_c 8.990
_cell_angle_alpha 90.00
_cell_angle_beta 90.00
_cell_angle_gamma 120.00
_symmetry_space_group_name_H-M 'P 1'
_symmetry_Int_Tables_number 1
loop_
_symmetry_equiv_pos_as_xyz
'x,y,z'
loop_
_atom_site_label
_atom_site_type_symbol
_atom_site_fract_x
_atom_site_fract_y
_atom_site_fract_z
Y1 Y 0.667 0.333 0.331
La1 La 0.333 0.667 0.663
Nd1 Nd 0.000 0.000 0.006
```

---

The data favor R; the next most stable structure lies 9 meV per atom above it.

---

P:
DFT (PBE) results for LaNdY after structural relaxation.

Calculated values
Its theoretical density is 5.89 g/cm3. The value obtained for the density of states at the Fermi level is 1.808 states/eV per atom.

```
data_LaNdY
_cell_length_a 5.203
_cell_length_b 5.200
_cell_length_c 8.185
_cell_angle_alpha 108.52
_cell_angle_beta 90.00
_cell_angle_gamma 90.00
_symmetry_space_group_name_H-M 'P 1'
_symmetry_Int_Tables_number 1
loop_
_symmetry_equiv_pos_as_xyz
'x,y,z'
loop_
_atom_site_label
_atom_site_type_symbol
_atom_site_fract_x
_atom_site_fract_y
_atom_site_fract_z
Nd1 Nd 0.750 0.085 0.670
Nd2 Nd 0.250 0.915 0.330
Y1 Y 0.750 0.749 0.998
Y2 Y 0.250 0.251 0.002
La1 La 0.750 0.417 0.333
La2 La 0.250 0.583 0.667
```

---

Q:
DFT (PBE) results for LaNdY after structural relaxation.

Calculated values
Its theoretical density is 5.94 g/cm3. The value obtained for the density of states at the Fermi level is 1.502 states/eV per atom.

```
data_LaNdY
_cell_length_a 5.800
_cell_length_b 6.811
_cell_length_c 6.811
_cell_angle_alpha 95.04
_cell_angle_beta 115.21
_cell_angle_gamma 115.21
_symmetry_space_group_name_H-M 'P 1'
_symmetry_Int_Tables_number 1
loop_
_symmetry_equiv_pos_as_xyz
'x,y,z'
loop_
_atom_site_label
_atom_site_type_symbol
_atom_site_fract_x
_atom_site_fract_y
_atom_site_fract_z
Nd1 Nd 0.805 0.382 0.869
Nd2 Nd 0.305 0.881 0.369
Y1 Y 0.556 0.794 0.957
Y2 Y 0.056 0.969 0.782
La1 La 0.053 0.308 0.443
La2 La 0.553 0.455 0.296
```

---

The data favor P; the next most stable structure lies 30 meV per atom above it.

---

P:
DFT (PBE) results for La2Nd2Y5 after structural relaxation.

Calculated values
Its theoretical density is 5.41 g/cm3. The value obtained for the density of states at the Fermi level is 1.854 states/eV per atom.

```
data_La2Nd2Y5
_cell_length_a 3.514
_cell_length_b 9.996
_cell_length_c 12.469
_cell_angle_alpha 133.74
_cell_angle_beta 98.10
_cell_angle_gamma 90.00
_symmetry_space_group_name_H-M 'P 1'
_symmetry_Int_Tables_number 1
loop_
_symmetry_equiv_pos_as_xyz
'x,y,z'
loop_
_atom_site_label
_atom_site_type_symbol
_atom_site_fract_x
_atom_site_fract_y
_atom_site_fract_z
La1 La 0.836 0.894 0.672
La2 La 0.164 0.106 0.328
Y1 Y 0.000 0.000 0.000
Y2 Y 0.173 0.480 0.346
Y3 Y 0.827 0.520 0.654
Y4 Y 0.330 0.201 0.659
Y5 Y 0.670 0.799 0.341
Nd1 Nd 0.496 0.678 0.991
Nd2 Nd 0.504 0.322 0.009
```

---

Q:
DFT (PBE) results for La2Nd2Y5 after structural relaxation.

Calculated values
Its theoretical density is 5.37 g/cm3. The value obtained for the density of states at the Fermi level is 1.770 states/eV per atom.

```
data_La2Nd2Y5
_cell_length_a 12.035
_cell_length_b 6.853
_cell_length_c 10.268
_cell_angle_alpha 109.49
_cell_angle_beta 125.88
_cell_angle_gamma 90.00
_symmetry_space_group_name_H-M 'P 1'
_symmetry_Int_Tables_number 1
loop_
_symmetry_equiv_pos_as_xyz
'x,y,z'
loop_
_atom_site_label
_atom_site_type_symbol
_atom_site_fract_x
_atom_site_fract_y
_atom_site_fract_z
Y1 Y 0.204 0.648 0.894
Y2 Y 0.810 0.254 0.106
Y3 Y 0.190 0.148 0.894
Y4 Y 0.991 0.162 0.500
Y5 Y 0.411 0.531 0.286
Y6 Y 0.796 0.754 0.106
Y7 Y 0.625 0.745 0.714
Y8 Y 0.589 0.245 0.714
Y9 Y 0.375 0.031 0.286
Y10 Y 0.009 0.662 0.500
La1 La 0.626 0.188 0.254
La2 La 0.374 0.935 0.746
La3 La 0.128 0.688 0.254
La4 La 0.872 0.435 0.746
Nd1 Nd 0.743 0.856 0.500
Nd2 Nd 0.500 0.515 0.000
Nd3 Nd 0.257 0.356 0.500
Nd4 Nd 0.000 0.015 0.000
```

---

The data favor P; the next most stable structure lies 60 meV per atom above it.